Density functional theory data (PBE) for a geometry-optimized AcGa2SiPt4 structure.

Geometry as POSCAR:
```
AcGa2SiPt4
1.0
2.1696 1.2526 9.1691
-2.1696 1.2526 9.1691
0.0000 -2.5052 9.1691
Ac Ga Si Pt
1 2 1 4
direct
0.0000 0.0000 0.0000
0.2462 0.2462 0.2462
0.7538 0.7538 0.7538
0.5000 0.5000 0.5000
0.1408 0.1408 0.1408
0.4118 0.4118 0.4118
0.5882 0.5882 0.5882
0.8592 0.8592 0.8592
```

## Properties
N(E_F) (states/eV/f.u.): 3.4
SG: No. 166
Energy (eV/atom): -5.763
Calculated density (Mg/m³): 13.049

Density functional theory data (PBE) for a geometry-optimized TbPmSmDy3 structure.

Geometry as POSCAR:
```
TbPmSmDy3
1.0
9.9361 -2.8247 0.0000
9.9361 2.8247 0.0000
-0.0169 0.0000 7.0076
Tb Pm Sm Dy
2 2 2 6
direct
0.1487 0.1487 0.4613
0.8513 0.8513 0.5387
0.1467 0.1467 0.0311
0.8533 0.8533 0.9689
0.4455 0.4455 0.7434
0.5545 0.5545 0.2566
0.0224 0.0224 0.7449
0.2797 0.2797 0.7529
0.3349 0.3349 0.2596
0.6651 0.6651 0.7404
0.7203 0.7203 0.2471
0.9776 0.9776 0.2551
```

## Properties
N(E_F) (states/eV/f.u.): 9.2
SG: No. 12
Calculated density (Mg/m³): 7.951
Formation energy (eV per atom): 0.192

| no. | magnetization (μB/cell) |
| --- | --- |
| 1 | 0.0 |
| 2 | 0.0 |